1.
First-principles (PBE) data for an optimized crystal structure of RbTiMnTe3, as listed in Alexandria.

a b c (Å): 4.1313 9.6402 10.6279
angles (deg): 115.24 90.00 90.00
With the nearest neighbours (Å) after each atom.
Fractional positions:
Mn 0.2500 0.0832 0.6122  4 Te 2.61-2.78
Mn 0.7500 0.9168 0.3878  4 Te 2.61-2.78
Ti 0.2500 0.6659 0.1420  6 Te 2.79-2.91
Ti 0.7500 0.3341 0.8580  6 Te 2.79-2.91
Rb 0.2500 0.2194 0.2566  7 Te 3.69-3.79, 2 Rb 4.13
Rb 0.7500 0.7806 0.7434  7 Te 3.69-3.79, 2 Rb 4.13
Te 0.7500 0.4665 0.1481  3 Ti 2.79-2.84
Te 0.2500 0.1347 0.8741  1 Mn 2.61, 2 Ti 2.88
Te 0.2500 0.5335 0.8519  3 Ti 2.79-2.84
Te 0.2500 0.7704 0.4429  3 Mn 2.70-2.78, 1 Ti 2.91
Te 0.7500 0.8653 0.1259  1 Mn 2.61, 2 Ti 2.88
Te 0.7500 0.2296 0.5571  3 Mn 2.70-2.78, 1 Ti 2.91

---

2.
First-principles (PBE) data for an optimized crystal structure of RbTmMnTe3, as listed in Alexandria.

a b c (Å): 4.4605 9.9178 10.6795
angles (deg): 110.27 90.00 90.00
With the nearest neighbours (Å) after each atom.
Fractional positions:
Rb 0.2500 0.2119 0.2423  7 Te 3.70-3.90
Rb 0.7500 0.7881 0.7577  7 Te 3.70-3.90
Te 0.2500 0.5317 0.8379  3 Tm 3.02-3.05
Te 0.7500 0.4683 0.1621  3 Tm 3.02-3.05
Te 0.7500 0.2118 0.5424  3 Mn 2.77-2.81
Te 0.2500 0.1168 0.8657  1 Mn 2.66
Te 0.7500 0.8832 0.1343  1 Mn 2.66
Te 0.2500 0.7882 0.4576  3 Mn 2.77-2.81
Tm 0.7500 0.3318 0.8616  6 Te 3.02-3.20
Tm 0.2500 0.6682 0.1384  6 Te 3.02-3.20
Mn 0.7500 0.9162 0.3925  4 Te 2.66-2.81
Mn 0.2500 0.0838 0.6075  4 Te 2.66-2.81

---

3.
First-principles (PBE) data for an optimized crystal structure of RbTm2MnTe4, as listed in Alexandria.

a b c (Å): 4.3884 7.9592 15.4140
angles (deg): 90.00 90.00 106.00
With the nearest neighbours (Å) after each atom.
Fractional positions:
Tm 0.6301 0.2602 0.4364  6 Te 3.04-3.12
Tm 0.6301 0.2602 0.0636  6 Te 3.04-3.12
Tm 0.3699 0.7398 0.5636  6 Te 3.04-3.12
Tm 0.3699 0.7398 0.9364  6 Te 3.04-3.12
Te 0.4358 0.8716 0.7500  2 Mn 2.69
Te 0.0000 0.0000 0.0000  4 Tm 3.12
Te 0.2630 0.5260 0.3935  1 Mn 2.66
Te 0.2630 0.5260 0.1065  1 Mn 2.66
Te 0.7370 0.4740 0.6065  1 Mn 2.66
Te 0.0000 0.0000 0.5000  4 Tm 3.12
Te 0.7370 0.4740 0.8935  1 Mn 2.66
Te 0.5642 0.1284 0.2500  2 Mn 2.69
Mn 0.8341 0.6681 0.7500  4 Te 2.66-2.69
Mn 0.1659 0.3319 0.2500  4 Te 2.66-2.69
Rb 0.8853 0.7707 0.2500  6 Te 3.51-3.63
Rb 0.1147 0.2293 0.7500  6 Te 3.51-3.63

---

4.
First-principles (PBE) data for an optimized crystal structure of Rb4Tm3MnTe8, as listed in Alexandria.

a b c (Å): 8.8559 9.9481 8.8565
angles (deg): 116.45 120.00 90.00
With the nearest neighbours (Å) after each atom.
Fractional positions:
Te 0.7439 0.6892 0.9666  1 Mn 2.93, 2 Tm 3.07
Te 0.2669 0.3008 0.5338  3 Tm 3.07
Te 0.7771 0.3106 0.5543  1 Mn 2.93, 2 Tm 3.07
Te 0.7331 0.6992 0.4662  3 Tm 3.07
Te 0.2229 0.6894 0.4457  1 Mn 2.93, 2 Tm 3.07
Te 0.2561 0.3108 0.0334  1 Mn 2.93, 2 Tm 3.07
Te 0.7773 0.3108 0.0334  1 Mn 2.93, 2 Tm 3.07
Te 0.2227 0.6892 0.9666  1 Mn 2.93, 2 Tm 3.07
Tm 0.0000 0.5000 0.5000  6 Te 3.07
Tm 0.5000 0.5000 0.0000  6 Te 3.07
Tm 0.5000 0.5000 0.5000  6 Te 3.07
Rb 0.5000 0.0000 0.0000  6 Te 3.76
Rb 0.0000 0.0000 0.5000  6 Te 3.62-3.65
Rb 0.5000 0.0000 0.5000  6 Te 3.62-3.65
Rb 0.0000 0.0000 0.0000  6 Te 3.62-3.65
Mn 0.0000 0.5000 0.0000  6 Te 2.93

---

5.
First-principles (PBE) data for an optimized crystal structure of Rb2U2MnTe6, as listed in Alexandria.

a b c (Å): 7.5515 7.5515 9.1507
angles (deg): 98.20 98.20 119.89
With the nearest neighbours (Å) after each atom.
Fractional positions:
Te 0.9313 0.6116 0.3076  1 Mn 2.95, 2 U 3.06-3.07
Te 0.6116 0.9313 0.3076  1 Mn 2.95, 2 U 3.06-3.07
Te 0.3884 0.0687 0.6924  1 Mn 2.95, 2 U 3.06-3.07
Te 0.2564 0.2564 0.3099  1 Mn 2.95, 2 U 3.06
Te 0.7436 0.7436 0.6901  1 Mn 2.95, 2 U 3.06
Te 0.0687 0.3884 0.6924  1 Mn 2.95, 2 U 3.06-3.07
Mn 0.0000 0.0000 0.5000  6 Te 2.95
U 0.3325 0.6675 0.5000  6 Te 3.06-3.07
U 0.6675 0.3325 0.5000  6 Te 3.06-3.07
Rb 0.8309 0.1691 0.0000  6 Te 3.68-3.72
Rb 0.1691 0.8309 0.0000  6 Te 3.68-3.72

---

6.
First-principles (PBE) data for an optimized crystal structure of Rb3U2MnTe6, as listed in Alexandria.

a b c (Å): 7.7740 7.7740 8.9118
angles (deg): 98.38 98.38 119.99
With the nearest neighbours (Å) after each atom.
Fractional positions:
Te 0.0645 0.3859 0.1938  1 Mn 2.99, 2 U 3.12
Te 0.6141 0.9355 0.8062  1 Mn 2.99, 2 U 3.12
Te 0.2567 0.2567 0.8046  1 Mn 3.01, 2 U 3.12
Te 0.9355 0.6141 0.8062  1 Mn 2.99, 2 U 3.12
Te 0.7433 0.7433 0.1954  1 Mn 3.01, 2 U 3.12
Te 0.3859 0.0645 0.1938  1 Mn 2.99, 2 U 3.12
Rb 0.5000 0.5000 0.5000  6 Te 3.65-3.73
Rb 0.1695 0.8305 0.5000  6 Te 3.65-3.72
Rb 0.8305 0.1695 0.5000  6 Te 3.65-3.72
Mn 0.0000 0.0000 0.0000  6 Te 2.99-3.01
U 0.6663 0.3337 0.0000  6 Te 3.12
U 0.3337 0.6663 0.0000  6 Te 3.12

---

The calculation returns the following calculated total energy values, one per record and in order: -5.2111, -4.9595, -4.9713, -4.3341, -5.4692, -5.2018 eV per atom.
The calculation returns the following total magnetization values, one per record and in order: 7.50, 10.00, 8.19, 4.03, 9.00, 10.00 μB/cell.